TlInF2: optimized geometry, PBE-GGA.

- D(E_F): 0.0 states/eV/cell
- ΔE_f (raw): -156 kJ per mole of atoms
- Distance to the lowest polymorph of the same formula: 125 meV/atom
- Spin magnetization: 0.000 μB/cell
- Symmetry: I-42d
- Volume: 222.5 Å³/cell

Cell lengths 6.1430, 6.1430, 7.3243 Å; angles 65.21, 65.21, 90.00 degrees
Atoms (fractional coordinates):
F 0.1408 0.6250 0.2500
In 0.2500 0.7500 0.5000
F 0.6092 0.1250 0.2500
F 0.3750 0.3908 0.7500
F 0.8750 0.8592 0.7500
In 0.5000 0.5000 0.0000
Tl 0.7500 0.2500 0.5000
Tl 0.0000 0.0000 0.0000

=====

Tl3In5F12: optimized geometry, PBE-GGA.

- D(E_F): 0.0 states/eV/cell
- ΔE_f (raw): -198 kJ per mole of atoms
- Spin magnetization: 0.000 μB/cell
- Symmetry: Ia-3d
- Volume: 1711.5 Å³/cell

Cell lengths 13.0517, 13.0517, 13.0517 Å; angles 109.47, 109.47, 109.47 degrees
Atoms (fractional coordinates):
In 0.0000 0.5000 0.5000
F 0.4070 0.9734 0.8172
F 0.6828 0.5898 0.1562
F 0.8438 0.9102 0.3172
F 0.9070 0.5898 0.9336
F 0.4734 0.6562 0.0664
In 0.5000 0.0000 0.5000
Tl 0.6250 0.3750 0.7500
F 0.1828 0.6562 0.0898
F 0.5664 0.5930 0.4102
F 0.3172 0.4102 0.8438
In 0.0000 0.5000 0.0000
F 0.4336 0.0266 0.3438
F 0.0898 0.9336 0.4070
F 0.4070 0.4336 0.0898
F 0.6562 0.4734 0.5664
F 0.0664 0.9102 0.0930
In 0.1250 0.7500 0.3750
F 0.3438 0.8172 0.4102
F 0.5664 0.9734 0.6562
Tl 0.8750 0.1250 0.2500
Tl 0.7500 0.8750 0.6250
Tl 0.3750 0.6250 0.2500
F 0.1562 0.0664 0.9734
In 0.0000 0.0000 0.0000
In 0.6250 0.7500 0.8750
F 0.0664 0.1562 0.4734
In 0.6250 0.8750 0.2500
F 0.0930 0.4102 0.0664
F 0.5898 0.6828 0.6562
In 0.2500 0.8750 0.1250
F 0.4734 0.8172 0.9070
In 0.5000 0.5000 0.0000
F 0.0266 0.5930 0.6828
In 0.5000 0.0000 0.0000
F 0.4102 0.0930 0.5664
Tl 0.7500 0.3750 0.1250
F 0.4102 0.3172 0.3438
F 0.5930 0.0266 0.1828
In 0.0000 0.0000 0.5000
F 0.9734 0.5664 0.1562
F 0.8172 0.4734 0.4070
Tl 0.1250 0.8750 0.7500
In 0.1250 0.3750 0.2500
F 0.9734 0.4070 0.3172
F 0.9102 0.8438 0.8172
F 0.9102 0.0664 0.5930
F 0.0266 0.4336 0.8438
Tl 0.2500 0.6250 0.8750
F 0.0898 0.1562 0.1828
F 0.5930 0.5664 0.9102
F 0.3438 0.5266 0.4336
In 0.3750 0.2500 0.1250
In 0.8750 0.6250 0.7500
F 0.5266 0.3438 0.9336
In 0.8750 0.2500 0.6250
F 0.6828 0.0930 0.0266
F 0.8172 0.3438 0.9102
In 0.7500 0.6250 0.3750
Tl 0.1250 0.2500 0.8750
F 0.1562 0.0898 0.6828
F 0.9336 0.8438 0.5266
F 0.1828 0.5266 0.5930
In 0.7500 0.1250 0.8750
F 0.5266 0.1828 0.0930
F 0.9336 0.0898 0.9070
In 0.2500 0.3750 0.6250
In 0.3750 0.1250 0.7500
Tl 0.3750 0.7500 0.6250
Tl 0.2500 0.1250 0.3750
F 0.9070 0.3172 0.4734
F 0.6562 0.1828 0.5898
Tl 0.8750 0.7500 0.1250
F 0.4336 0.4070 0.5898
In 0.5000 0.5000 0.5000
F 0.3172 0.9070 0.9734
F 0.0930 0.6828 0.5266
Tl 0.6250 0.2500 0.3750
F 0.8438 0.9336 0.0266
F 0.5898 0.9070 0.4336

=====

TlInF2: optimized geometry, PBE-GGA.

- D(E_F): 0.0 states/eV/cell
- ΔE_f (raw): -157 kJ per mole of atoms
- Distance to the lowest polymorph of the same formula: 121 meV/atom
- Spin magnetization: 0.000 μB/cell
- Symmetry: R3m
- Volume: 93.6 Å³/cell

Cell lengths 3.8524, 3.8524, 7.6157 Å; angles 75.35, 75.35, 60.00 degrees
Atoms (fractional coordinates):
F 0.2393 0.2393 0.2821
Tl 0.5117 0.5117 0.4650
In 0.6792 0.6792 0.9624
F 0.0698 0.0698 0.7905